i | A relaxed structure of ZrAgMo2. Source: the Alexandria database, functional GGA-PBE.

Output
space-group type = P2/m (10)
size of the total moment = 0.00 μB/f.u.
calculated volume = 17.90 Å³/atom

a = 2.759 Å, b = 4.932 Å, c = 5.306 Å
α = 90.00°, β = 97.38°, γ = 90.00°
Fractional positions:
Zr 0.000 0.000 0.000
Ag 0.500 0.000 0.500
Mo 0.300 0.500 0.769
Mo 0.700 0.500 0.231

***

ii | A relaxed structure of ZrAgMo2. Source: the Alexandria database, functional GGA-PBE.

Output
space-group type = F-43m (216)
size of the total moment = 0.00 μB/f.u.
calculated volume = 17.72 Å³/atom

a = 4.646 Å, b = 4.646 Å, c = 4.646 Å
α = 60.00°, β = 60.00°, γ = 60.00°
Fractional positions:
Zr 0.000 0.000 0.000
Ag 0.250 0.250 0.250
Mo 0.500 0.500 0.500
Mo 0.750 0.750 0.750

***

Verdict on stability: i comes out at the bottom.

***

i | A relaxed structure of ZrAg2Mo. Source: the Alexandria database, functional GGA-PBE.

Output
space-group type = Cmmm (65)
size of the total moment = 0.21 μB/f.u.
calculated volume = 17.98 Å³/atom

a = 5.310 Å, b = 5.310 Å, c = 2.827 Å
α = 90.00°, β = 90.00°, γ = 115.50°
Fractional positions:
Zr 0.000 0.000 0.000
Ag 0.000 0.500 0.500
Ag 0.500 0.000 0.500
Mo 0.500 0.500 0.000

***

ii | A relaxed structure of ZrAg2Mo. Source: the Alexandria database, functional GGA-PBE.

Output
space-group type = Pm (6)
size of the total moment = 0.00 μB/f.u.
calculated volume = 18.17 Å³/atom

a = 2.703 Å, b = 4.680 Å, c = 5.902 Å
α = 90.00°, β = 103.21°, γ = 90.00°
Fractional positions:
Zr 0.000 0.000 0.000
Ag 0.623 0.500 0.245
Ag 0.744 0.000 0.499
Mo 0.359 0.500 0.723

***

Verdict on stability: i comes out at the bottom.

***

i | A relaxed structure of NaAg3N. Source: the Alexandria database, functional GGA-PBE.

Output
space-group type = Pm-3m (221)
size of the total moment = 2.31 μB/f.u.
calculated volume = 27.78 Å³/atom

a = 5.179 Å, b = 5.179 Å, c = 5.179 Å
α = 90.00°, β = 90.00°, γ = 90.00°
Fractional positions:
Na 0.000 0.000 0.000
Ag 0.000 0.000 0.500
Ag 0.000 0.500 0.000
Ag 0.500 0.000 0.000
N 0.500 0.500 0.500

***

ii | A relaxed structure of NaAg3N. Source: the Alexandria database, functional GGA-PBE.

Output
space-group type = Pm-3m (221)
size of the total moment = 0.00 μB/f.u.
calculated volume = 18.18 Å³/atom

a = 4.496 Å, b = 4.496 Å, c = 4.496 Å
α = 90.00°, β = 90.00°, γ = 90.00°
Fractional positions:
Na 0.000 0.000 0.000
Ag 0.000 0.500 0.500
Ag 0.500 0.000 0.500
Ag 0.500 0.500 0.000
N 0.500 0.500 0.500

***

Verdict on stability: i comes out at the bottom.

***

i | A relaxed structure of NaAgSN2. Source: the Alexandria database, functional GGA-PBE.

Output
space-group type = P4/mmm (123)
size of the total moment = 4.19 μB/f.u.
calculated volume = 18.75 Å³/atom

a = 4.219 Å, b = 4.219 Å, c = 5.267 Å
α = 90.00°, β = 90.00°, γ = 90.00°
Fractional positions:
Na 0.000 0.000 0.000
Ag 0.500 0.500 0.500
S 0.500 0.500 0.000
N 0.000 0.500 0.500
N 0.500 0.000 0.500

***

ii | A relaxed structure of NaAgSN2. Source: the Alexandria database, functional GGA-PBE.

Output
space-group type = P4/mmm (123)
size of the total moment = 5.78 μB/f.u.
calculated volume = 20.54 Å³/atom

a = 4.369 Å, b = 4.369 Å, c = 5.379 Å
α = 90.00°, β = 90.00°, γ = 90.00°
Fractional positions:
Na 0.000 0.000 0.000
Ag 0.500 0.500 0.500
S 0.000 0.000 0.500
N 0.000 0.500 0.000
N 0.500 0.000 0.000

***

Verdict on stability: ii comes out at the bottom.

***

i | A relaxed structure of NaAgSeN2. Source: the Alexandria database, functional GGA-PBE.

Output
space-group type = P4/mmm (123)
size of the total moment = 5.61 μB/f.u.
calculated volume = 21.83 Å³/atom

a = 4.372 Å, b = 4.372 Å, c = 5.710 Å
α = 90.00°, β = 90.00°, γ = 90.00°
Fractional positions:
Na 0.000 0.000 0.000
Ag 0.500 0.500 0.500
Se 0.000 0.000 0.500
N 0.000 0.500 0.000
N 0.500 0.000 0.000

***

ii | A relaxed structure of NaAgSeN2. Source: the Alexandria database, functional GGA-PBE.

Output
space-group type = P4/mmm (123)
size of the total moment = 4.25 μB/f.u.
calculated volume = 19.98 Å³/atom

a = 4.250 Å, b = 4.250 Å, c = 5.531 Å
α = 90.00°, β = 90.00°, γ = 90.00°
Fractional positions:
Na 0.000 0.000 0.000
Ag 0.500 0.500 0.500
Se 0.500 0.500 0.000
N 0.000 0.500 0.500
N 0.500 0.000 0.500

***

Verdict on stability: i comes out at the bottom.

***

i | A relaxed structure of NaAgTe2N. Source: the Alexandria database, functional GGA-PBE.

Output
space-group type = P4/mmm (123)
size of the total moment = 2.96 μB/f.u.
calculated volume = 27.38 Å³/atom

a = 5.611 Å, b = 5.611 Å, c = 4.348 Å
α = 90.00°, β = 90.00°, γ = 90.00°
Fractional positions:
Na 0.000 0.000 0.000
Ag 0.500 0.500 0.500
Te 0.000 0.500 0.000
Te 0.500 0.000 0.000
N 0.000 0.000 0.500

***

ii | A relaxed structure of NaAgTe2N. Source: the Alexandria database, functional GGA-PBE.

Output
space-group type = P4/mmm (123)
size of the total moment = 1.30 μB/f.u.
calculated volume = 26.58 Å³/atom

a = 5.795 Å, b = 5.795 Å, c = 3.956 Å
α = 90.00°, β = 90.00°, γ = 90.00°
Fractional positions:
Na 0.000 0.000 0.000
Ag 0.500 0.500 0.500
Te 0.000 0.500 0.500
Te 0.500 0.000 0.500
N 0.500 0.500 0.000

***

Verdict on stability: i comes out at the bottom.

***

i | A relaxed structure of Nb3AgN. Source: the Alexandria database, functional GGA-PBE.

Output
space-group type = Pm-3m (221)
size of the total moment = 0.00 μB/f.u.
calculated volume = 23.47 Å³/atom

a = 4.896 Å, b = 4.896 Å, c = 4.896 Å
α = 90.00°, β = 90.00°, γ = 90.00°
Fractional positions:
Nb 0.000 0.000 0.500
Nb 0.000 0.500 0.000
Nb 0.500 0.000 0.000
Ag 0.000 0.000 0.000
N 0.500 0.500 0.500

***

ii | A relaxed structure of Nb3AgN. Source: the Alexandria database, functional GGA-PBE.

Output
space-group type = Pm-3m (221)
size of the total moment = 0.00 μB/f.u.
calculated volume = 15.74 Å³/atom

a = 4.286 Å, b = 4.286 Å, c = 4.286 Å
α = 90.00°, β = 90.00°, γ = 90.00°
Fractional positions:
Nb 0.000 0.000 0.500
Nb 0.000 0.500 0.000
Nb 0.500 0.000 0.000
Ag 0.500 0.500 0.500
N 0.000 0.000 0.000

***

Verdict on stability: i comes out at the bottom.

***

i | A relaxed structure of NbAgSN2. Source: the Alexandria database, functional GGA-PBE.

Output
space-group type = P4/mmm (123)
size of the total moment = 0.33 μB/f.u.
calculated volume = 15.35 Å³/atom

a = 4.012 Å, b = 4.012 Å, c = 4.767 Å
α = 90.00°, β = 90.00°, γ = 90.00°
Fractional positions:
Nb 0.000 0.000 0.000
Ag 0.500 0.500 0.500
S 0.500 0.500 0.000
N 0.000 0.500 0.500
N 0.500 0.000 0.500

***

ii | A relaxed structure of NbAgSN2. Source: the Alexandria database, functional GGA-PBE.

Output
space-group type = P4/mmm (123)
size of the total moment = 0.97 μB/f.u.
calculated volume = 16.83 Å³/atom

a = 3.987 Å, b = 3.987 Å, c = 5.294 Å
α = 90.00°, β = 90.00°, γ = 90.00°
Fractional positions:
Nb 0.000 0.000 0.000
Ag 0.500 0.500 0.500
S 0.000 0.000 0.500
N 0.000 0.500 0.000
N 0.500 0.000 0.000

***

Verdict on stability: i comes out at the bottom.